Ta2Fe | OQMD | GGA-PBE | optimized geometry; raw total energy = -45.3 eV for the cell shown
1.0
0.000 5.063 5.063
5.063 0.000 5.063
5.063 5.063 0.000
Ta Fe
4 2
Direct
0.000 0.000 0.000
0.000 0.000 0.500
0.000 0.500 0.000
0.500 0.000 0.000
0.125 0.125 0.125
0.875 0.875 0.875